# 1
Compound: Te5Au4Cl
Source: the Alexandria database
Functional: PBE
Structure: optimized geometry

Lattice parameters (Å, degrees): 8.418 12.864 5.505 90.00 90.00 90.00
Fractional coordinates of all 20 atoms:
Te  0.007  0.065  0.212
Te  0.007  0.435  0.212
Te  0.250  0.750  0.323
Te  0.493  0.065  0.212
Te  0.493  0.435  0.212
Te  0.507  0.565  0.788
Te  0.507  0.935  0.788
Te  0.750  0.250  0.677
Te  0.993  0.565  0.788
Te  0.993  0.935  0.788
Au  0.000  0.250  0.979
Au  0.000  0.750  0.021
Au  0.250  0.529  0.481
Au  0.250  0.971  0.481
Au  0.500  0.250  0.979
Au  0.500  0.750  0.021
Au  0.750  0.029  0.519
Au  0.750  0.471  0.519
Cl  0.250  0.250  0.683
Cl  0.750  0.750  0.317

Computed properties:
The raw formation energy is -0.041 eV per atom. The total moment comes out at 0.00 μB/f.u. For the total DFT energy (no corrections), the calculation gives -62.16 eV/cell.

# 2
Compound: TeAu2Cl
Source: the Alexandria database
Functional: PBE
Structure: optimized geometry

Lattice parameters (Å, degrees): 3.631 3.631 8.555 90.00 90.00 117.57
Fractional coordinates of all 4 atoms:
Te  0.000  0.000  0.000
Au  0.000  0.000  0.443
Au  0.500  0.500  0.223
Cl  0.500  0.500  0.638

Computed properties:
The raw formation energy is 0.019 eV per atom. The total moment comes out at 0.00 μB/f.u. For the total DFT energy (no corrections), the calculation gives -11.47 eV/cell.

# 3
Compound: TeAuCl
Source: the Alexandria database
Functional: PBE
Structure: optimized geometry

Lattice parameters (Å, degrees): 7.605 6.967 4.014 82.99 65.42 31.59
Fractional coordinates of all 3 atoms:
Te  0.000  0.000  0.000
Au  0.359  0.359  0.641
Cl  0.732  0.732  0.268

Computed properties:
The raw formation energy is -0.091 eV per atom. The total moment comes out at 0.00 μB/f.u. For the total DFT energy (no corrections), the calculation gives -8.54 eV/cell.

# 4
Compound: TeAu2Cl
Source: the Alexandria database
Functional: PBE
Structure: optimized geometry

Lattice parameters (Å, degrees): 4.937 4.937 4.937 60.00 60.00 60.00
Fractional coordinates of all 4 atoms:
Te  0.000  0.000  0.000
Au  0.250  0.250  0.250
Au  0.500  0.500  0.500
Cl  0.750  0.750  0.750

Computed properties:
The raw formation energy is 0.353 eV per atom. The total moment comes out at 0.00 μB/f.u. For the total DFT energy (no corrections), the calculation gives -10.13 eV/cell.

# 5
Compound: TeAuCl2
Source: the Alexandria database
Functional: PBE
Structure: optimized geometry

Lattice parameters (Å, degrees): 5.352 5.352 3.232 90.00 90.00 106.13
Fractional coordinates of all 4 atoms:
Te  0.000  0.000  0.000
Au  0.500  0.500  0.000
Cl  0.000  0.500  0.500
Cl  0.500  0.000  0.500

Computed properties:
The raw formation energy is 0.355 eV per atom. The total moment comes out at 0.00 μB/f.u. For the total DFT energy (no corrections), the calculation gives -8.69 eV/cell.

# 6
Compound: TeAu2Cl
Source: the Alexandria database
Functional: PBE
Structure: optimized geometry

Lattice parameters (Å, degrees): 3.307 3.891 8.089 90.00 101.59 90.00
Fractional coordinates of all 4 atoms:
Te  0.000  0.000  0.000
Au  0.780  0.000  0.543
Au  0.891  0.500  0.774
Cl  0.683  0.500  0.341

Computed properties:
The raw formation energy is -0.064 eV per atom. The total moment comes out at 0.00 μB/f.u. For the total DFT energy (no corrections), the calculation gives -11.80 eV/cell.

# 7
Compound: TeAuCl2
Source: the Alexandria database
Functional: PBE
Structure: optimized geometry

Lattice parameters (Å, degrees): 4.612 4.470 4.623 90.00 95.61 90.00
Fractional coordinates of all 4 atoms:
Te  0.000  0.000  0.000
Au  0.500  0.000  0.500
Cl  0.239  0.500  0.761
Cl  0.761  0.500  0.239

Computed properties:
The raw formation energy is 0.068 eV per atom. The total moment comes out at 0.00 μB/f.u. For the total DFT energy (no corrections), the calculation gives -9.84 eV/cell.

# 8
Compound: TeAuCl2
Source: the Alexandria database
Functional: PBE
Structure: optimized geometry

Lattice parameters (Å, degrees): 3.960 3.960 8.852 90.00 90.00 122.95
Fractional coordinates of all 4 atoms:
Te  0.000  0.000  0.000
Au  0.500  0.500  0.786
Cl  0.000  0.000  0.604
Cl  0.500  0.500  0.232

Computed properties:
The raw formation energy is -0.147 eV per atom. The total moment comes out at 0.00 μB/f.u. For the total DFT energy (no corrections), the calculation gives -10.70 eV/cell.

Question: The highest total DFT energy (no corrections) belongs to which entry?
Answer: TeAuCl